1.
Here is BaCa3Pd after structural relaxation from the Alexandria database. Energies are from PBE.

Values from the calculation:
- spin magnetization (μB per formula unit) = 0.0
- energy of formation from the pure elements (kcal/mol of atoms) = -6.705
- mass density (Mg/m³) = 3.01
- E above lowest polymorph (kJ/mol of formula units) = 9.9
- DOS at the Fermi energy (states/eV/cell) = 5.182

Cell lengths 4.438, 8.581, 10.554 Å; angles 90.00, 89.98, 90.00 degrees
Atoms (fractional coordinates):
Pd1 0.500 0.750 0.241
Ca1 0.000 0.034 0.776
Ca2 0.500 0.250 0.026
Pd2 0.500 0.250 0.759
Ba1 0.499 0.250 0.466
Ba2 0.501 0.750 0.534
Ca3 0.500 0.750 0.974
Ca4 0.000 0.466 0.776
Ca5 0.000 0.534 0.224
Ca6 0.000 0.966 0.224


2.
Here is HfZr5Ru4 after structural relaxation from the Alexandria database. Energies are from PBE.

Values from the calculation:
- spin magnetization (μB per formula unit) = 0.0
- energy of formation from the pure elements (kcal/mol of atoms) = -11.671
- mass density (Mg/m³) = 9.29
- DOS at the Fermi energy (states/eV/cell) = 5.125

Cell lengths 3.273, 3.273, 17.337 Å; angles 90.00, 90.00, 90.00 degrees
Atoms (fractional coordinates):
Ru1 0.000 0.000 0.595
Ru2 0.000 0.000 0.216
Zr1 0.500 0.500 0.310
Zr2 0.500 0.500 0.121
Zr3 0.500 0.500 0.690
Ru3 0.000 0.000 0.405
Ru4 0.000 0.000 0.784
Hf1 0.000 0.000 0.000
Zr4 0.500 0.500 0.500
Zr5 0.500 0.500 0.879


3.
Here is La8Pm3Tm2 after structural relaxation from the Alexandria database. Energies are from PBE.

Values from the calculation:
- spin magnetization (μB per formula unit) = 0.0
- energy of formation from the pure elements (kcal/mol of atoms) = 0.463
- mass density (Mg/m³) = 6.84
- E above lowest polymorph (kJ/mol of formula units) = 0.0
- DOS at the Fermi energy (states/eV/cell) = 21.983

Cell lengths 6.349, 9.752, 8.244 Å; angles 115.11, 82.64, 89.89 degrees
Atoms (fractional coordinates):
La1 0.883 0.460 0.688
La2 0.652 0.386 0.081
Pm1 0.500 0.000 0.000
La3 0.040 0.845 0.767
Tm1 0.576 0.690 0.537
La4 0.960 0.155 0.233
La5 0.348 0.614 0.919
La6 0.727 0.075 0.615
Pm2 0.191 0.232 0.844
La7 0.273 0.925 0.385
La8 0.117 0.540 0.312
Tm2 0.424 0.310 0.463
Pm3 0.809 0.768 0.156


4.
Here is Pm2DyAg after structural relaxation from the Alexandria database. Energies are from PBE.

Values from the calculation:
- spin magnetization (μB per formula unit) = 0.0
- energy of formation from the pure elements (kcal/mol of atoms) = -2.799
- mass density (Mg/m³) = 7.90
- E above lowest polymorph (kJ/mol of formula units) = 0.0
- DOS at the Fermi energy (states/eV/cell) = 11.024

Cell lengths 5.190, 5.190, 9.484 Å; angles 105.88, 105.88, 90.00 degrees
Atoms (fractional coordinates):
Ag1 0.750 0.250 0.500
Pm1 0.000 0.500 0.000
Dy1 0.148 0.148 0.295
Pm2 0.359 0.359 0.718
Pm3 0.641 0.641 0.282
Ag2 0.250 0.750 0.500
Dy2 0.852 0.852 0.705
Pm4 0.500 0.000 0.000


5.
Here is CaAcZn2Ge2 after structural relaxation from the Alexandria database. Energies are from PBE.

Values from the calculation:
- spin magnetization (μB per formula unit) = 0.0
- energy of formation from the pure elements (kcal/mol of atoms) = -13.290
- mass density (Mg/m³) = 6.34
- DOS at the Fermi energy (states/eV/cell) = 2.476

Cell lengths 4.342, 4.342, 8.711 Å; angles 90.00, 90.00, 120.00 degrees
Atoms (fractional coordinates):
Ac1 0.000 0.000 0.000
Ge1 0.333 0.667 0.264
Zn1 0.667 0.333 0.256
Ca1 0.000 0.000 0.500
Zn2 0.333 0.667 0.744
Ge2 0.667 0.333 0.736


6.
Here is TbSmRh4 after structural relaxation from the Alexandria database. Energies are from PBE.

Values from the calculation:
- spin magnetization (μB per formula unit) = 0.0
- energy of formation from the pure elements (kcal/mol of atoms) = -16.416
- mass density (Mg/m³) = 10.95
- DOS at the Fermi energy (states/eV/cell) = 4.037

Cell lengths 5.367, 5.367, 5.367 Å; angles 60.00, 60.00, 60.00 degrees
Atoms (fractional coordinates):
Sm1 0.000 0.000 0.000
Rh1 0.625 0.625 0.125
Tb1 0.250 0.250 0.250
Rh2 0.125 0.625 0.625
Rh3 0.625 0.125 0.625
Rh4 0.625 0.625 0.625